(one)
Entry from the Alexandria database: a geometry-optimized BeS structure (GGA-PBE).

Lattice parameters (Å, degrees): 3.439 3.439 5.666 90.00 90.00 120.00
Fractional coordinates of all 4 atoms:
Be1 0.333 0.667 0.000
Be2 0.667 0.333 0.500
S1 0.333 0.667 0.626
S2 0.667 0.333 0.126

## Properties
For the density of states at the Fermi level, the calculation gives 0.0 states/eV/f.u. Its space-group type is No. 186.


(two)
Entry from the Alexandria database: a geometry-optimized BeS structure (GGA-PBE).

Lattice parameters (Å, degrees): 6.391 5.813 5.628 67.90 57.42 54.68
Fractional coordinates of all 8 atoms:
Be1 0.013 0.013 0.737
Be2 0.263 0.263 0.987
Be3 0.737 0.737 0.013
Be4 0.987 0.987 0.263
S1 0.067 0.683 0.067
S2 0.317 0.933 0.317
S3 0.683 0.067 0.683
S4 0.933 0.317 0.933

## Properties
For the density of states at the Fermi level, the calculation gives 0.0 states/eV/f.u. Its space-group type is No. 70.


(one) takes first place; second place is 177 meV/atom up.


(one)
Entry from the Alexandria database: a geometry-optimized B2C structure (GGA-PBE).

Lattice parameters (Å, degrees): 8.566 8.566 4.839 105.21 105.21 18.10
Fractional coordinates of all 12 atoms:
B1 0.000 0.000 0.000
B2 0.232 0.232 0.184
B3 0.337 0.337 0.927
B4 0.481 0.481 0.771
B5 0.500 0.500 0.457
B6 0.731 0.731 0.681
B7 0.840 0.840 0.502
B8 0.894 0.894 0.185
C1 0.240 0.240 0.862
C2 0.383 0.383 0.650
C3 0.740 0.740 0.363
C4 0.991 0.991 0.301

## Properties
For the density of states at the Fermi level, the calculation gives 0.6 states/eV/f.u. Its space-group type is No. 8.


(two)
Entry from the Alexandria database: a geometry-optimized B2C structure (GGA-PBE).

Lattice parameters (Å, degrees): 8.615 8.615 4.902 106.30 106.30 17.83
Fractional coordinates of all 12 atoms:
B1 0.000 0.000 0.000
B2 0.010 0.010 0.341
B3 0.238 0.238 0.283
B4 0.345 0.345 0.037
B5 0.501 0.501 0.538
B6 0.735 0.735 0.788
B7 0.841 0.841 0.615
B8 0.910 0.910 0.227
C1 0.245 0.245 0.968
C2 0.387 0.387 0.745
C3 0.481 0.481 0.823
C4 0.745 0.745 0.469

## Properties
For the density of states at the Fermi level, the calculation gives 0.3 states/eV/f.u. Its space-group type is No. 8.


(one) takes first place; second place is 16 meV/atom up.


(one)
Entry from the Alexandria database: a geometry-optimized WSeCl2 structure (GGA-PBE).

Lattice parameters (Å, degrees): 4.628 4.628 4.628 60.00 60.00 60.00
Fractional coordinates of all 4 atoms:
W1 0.000 0.000 0.000
Se1 0.500 0.500 0.500
Cl1 0.250 0.250 0.250
Cl2 0.750 0.750 0.750

## Properties
For the density of states at the Fermi level, the calculation gives 3.6 states/eV/f.u. Its space-group type is No. 225.


(two)
Entry from the Alexandria database: a geometry-optimized WSeCl2 structure (GGA-PBE).

Lattice parameters (Å, degrees): 3.032 3.032 8.821 90.00 90.00 90.00
Fractional coordinates of all 4 atoms:
W1 0.000 0.000 0.000
Se1 0.500 0.500 0.824
Cl1 0.000 0.000 0.505
Cl2 0.500 0.500 0.178

## Properties
For the density of states at the Fermi level, the calculation gives 2.5 states/eV/f.u. Its space-group type is No. 99.


(two) takes first place; second place is 1043 meV/atom up.


(one)
Entry from the Alexandria database: a geometry-optimized MoBr structure (GGA-PBE).

Lattice parameters (Å, degrees): 4.027 4.027 4.027 60.00 60.00 60.00
Fractional coordinates of all 2 atoms:
Mo1 0.000 0.000 0.000
Br1 0.500 0.500 0.500

## Properties
For the density of states at the Fermi level, the calculation gives 1.7 states/eV/f.u. Its space-group type is No. 225.


(two)
Entry from the Alexandria database: a geometry-optimized MoBr structure (GGA-PBE).

Lattice parameters (Å, degrees): 3.059 3.059 8.888 90.00 90.00 90.00
Fractional coordinates of all 4 atoms:
Mo1 0.250 0.250 0.105
Mo2 0.750 0.750 0.895
Br1 0.250 0.250 0.705
Br2 0.750 0.750 0.295

## Properties
For the density of states at the Fermi level, the calculation gives 1.3 states/eV/f.u. Its space-group type is No. 129.


(two) takes first place; second place is 1177 meV/atom up.